Entry 1:
A plane-wave DFT calculation with PBE-GGA was carried out for an optimized crystal structure of AcTm2InHg4.

Properties
Crystal system = trigonal
Formation energy from the elements = -0.38 eV/atom
Total magnetization = 0.0 μB/cell

```
data_AcTm2InHg4
_chemical_formula_sum 'Ac3 Tm6 In3 Hg12'
_cell_length_a 5.0552
_cell_length_b 5.0552
_cell_length_c 29.7140
_cell_angle_alpha 90.00
_cell_angle_beta 90.00
_cell_angle_gamma 120.00
_symmetry_space_group_name_H-M 'R -3 m'
_symmetry_Int_Tables_number 166
_symmetry_space_group_name_Hall '-R 3 2"'
loop_
_atom_site_label
_atom_site_type_symbol
_atom_site_fract_x
_atom_site_fract_y
_atom_site_fract_z
Ac1 Ac 0.0000 0.0000 0.0000
Tm1 Tm 0.0000 0.0000 0.2318
In1 In 0.0000 0.0000 0.5000
Hg1 Hg 0.0000 0.0000 0.1232
Hg2 Hg 0.0000 0.0000 0.3915
```

Entry 2:
A plane-wave DFT calculation with PBE-GGA was carried out for an optimized crystal structure of BaPm2As.

Properties
Crystal system = trigonal
Formation energy from the elements = -0.61 eV/atom
Total magnetization = 0.0 μB/cell

```
data_BaPm2As
_chemical_formula_sum 'Ba3 Pm6 As3'
_cell_length_a 4.1231
_cell_length_b 4.1231
_cell_length_c 31.1027
_cell_angle_alpha 90.00
_cell_angle_beta 90.00
_cell_angle_gamma 120.00
_symmetry_space_group_name_H-M 'R -3 m'
_symmetry_Int_Tables_number 166
_symmetry_space_group_name_Hall '-R 3 2"'
loop_
_atom_site_label
_atom_site_type_symbol
_atom_site_fract_x
_atom_site_fract_y
_atom_site_fract_z
Ba1 Ba 0.0000 0.0000 0.0000
Pm1 Pm 0.0000 0.0000 0.2207
As1 As 0.0000 0.0000 0.5000
```

Entry 3:
A plane-wave DFT calculation with PBE-GGA was carried out for an optimized crystal structure of SrReRu2.

Properties
Crystal system = orthorhombic
Formation energy from the elements = 0.63 eV/atom
Total magnetization = 0.0 μB/cell

```
data_SrReRu2
_chemical_formula_sum 'Sr1 Re1 Ru2'
_cell_length_a 2.806
_cell_length_b 3.858
_cell_length_c 7.118
_cell_angle_alpha 90.00
_cell_angle_beta 90.00
_cell_angle_gamma 90.00
_symmetry_space_group_name_H-M 'P m m 2'
_symmetry_Int_Tables_number 25
_symmetry_space_group_name_Hall 'P 2 -2'
loop_
_atom_site_label
_atom_site_type_symbol
_atom_site_fract_x
_atom_site_fract_y
_atom_site_fract_z
Sr1 Sr 0.000 0.000 0.000
Re1 Re 0.500 0.500 0.348
Ru1 Ru 0.000 0.000 0.496
Ru2 Ru 0.500 0.500 0.696
```

Entry 4:
A plane-wave DFT calculation with PBE-GGA was carried out for an optimized crystal structure of H3Pd2Pt.

Properties
E_tot = -0.164 hartree per atom
Crystal system = orthorhombic
Total magnetization = 0.0 μB/cell

```
data_H3Pd2Pt
_chemical_formula_sum 'H12 Pd8 Pt4'
_cell_length_a 8.841
_cell_length_b 5.173
_cell_length_c 5.063
_cell_angle_alpha 90.00
_cell_angle_beta 90.00
_cell_angle_gamma 90.00
_symmetry_space_group_name_H-M 'C m c 21'
_symmetry_Int_Tables_number 36
_symmetry_space_group_name_Hall 'C 2c -2'
loop_
_atom_site_label
_atom_site_type_symbol
_atom_site_fract_x
_atom_site_fract_y
_atom_site_fract_z
H1 H 0.000 0.182 0.000
H2 H 0.162 0.315 0.520
Pd1 Pd 0.166 0.350 0.157
Pt1 Pt 0.000 0.147 0.649
```

Entry 5:
A plane-wave DFT calculation with PBE-GGA was carried out for an optimized crystal structure of Tm6Bi3AsSe2.

Properties
Crystal system = monoclinic
E_form (uncorrected) = -1.189 eV/atom
Total magnetization = 0.0 μB/cell

```
data_Tm6Bi3AsSe2
_chemical_formula_sum 'Tm12 Bi6 As2 Se4'
_cell_length_a 7.314
_cell_length_b 12.685
_cell_length_c 7.355
_cell_angle_alpha 90.00
_cell_angle_beta 109.29
_cell_angle_gamma 90.00
_symmetry_space_group_name_H-M 'C 1 2/m 1'
_symmetry_Int_Tables_number 12
_symmetry_space_group_name_Hall '-C 2y'
loop_
_atom_site_label
_atom_site_type_symbol
_atom_site_fract_x
_atom_site_fract_y
_atom_site_fract_z
Tm1 Tm 0.239 0.163 0.228
Tm2 Tm 0.249 0.000 0.769
Bi1 Bi 0.000 0.170 0.500
Bi2 Bi 0.000 0.500 0.500
As1 As 0.000 0.000 0.000
Se1 Se 0.000 0.334 0.000
```

Entry 6:
A plane-wave DFT calculation with PBE-GGA was carried out for an optimized crystal structure of AcNd2Dy.

Properties
Crystal system = trigonal
Formation energy from the elements = 0.04 eV/atom
Total magnetization = 0.0 μB/cell

```
data_AcNd2Dy
_chemical_formula_sum 'Ac3 Nd6 Dy3'
_cell_length_a 3.7397
_cell_length_b 3.7397
_cell_length_c 36.3237
_cell_angle_alpha 90.00
_cell_angle_beta 90.00
_cell_angle_gamma 120.00
_symmetry_space_group_name_H-M 'R 3 m'
_symmetry_Int_Tables_number 160
_symmetry_space_group_name_Hall 'R 3 -2"'
loop_
_atom_site_label
_atom_site_type_symbol
_atom_site_fract_x
_atom_site_fract_y
_atom_site_fract_z
Ac1 Ac 0.0000 0.0000 0.0000
Nd1 Nd 0.0000 0.0000 0.5795
Nd2 Nd 0.0000 0.0000 0.7542
Dy1 Dy 0.0000 0.0000 0.1667
```

Q: total magnetization of number 2 (BaPm2As)?
A: 0.0 μB/cell

Q: total magnetization of number 2 (BaPm2As)?
A: 0.0 μB/cell